Record 1
This record from the Alexandria database describes an optimized crystal structure of Li2SiIr. The functional is GGA-PBE.

Cell: 2.786 2.786 8.782 Å, 90.00 90.00 117.60°
Fractional positions:
Ir1 0.500 0.500 0.733
Li1 0.000 0.000 0.978
Li2 0.500 0.500 0.276
Si1 0.000 0.000 0.513

Computed properties:
SG   Cmm2 (35)
Calculated volume   60.4 Å³ per cell
ΔE_f (raw)   -0.116 eV/atom

---

Record 2
This record from the Alexandria database describes an optimized crystal structure of LiSi2Ir. The functional is GGA-PBE.

Cell: 3.979 3.979 4.928 Å, 66.19 66.19 60.00°
Fractional positions:
Li1 0.484 0.484 0.548
Si1 0.069 0.069 0.794
Si2 0.268 0.268 0.196
Ir1 0.679 0.679 0.962

Computed properties:
SG   R3m (160)
Energy above the most stable polymorph in this dataset   26.9 meV/atom
Calculated volume   59.8 Å³ per cell
ΔE_f (raw)   -0.459 eV/atom

---

Record 3
This record from the Alexandria database describes an optimized crystal structure of LiSi2Ir. The functional is GGA-PBE.

Cell: 4.629 4.629 8.346 Å, 73.90 73.90 90.00°
Fractional positions:
Si1 0.767 0.125 0.250
Si2 0.983 0.625 0.250
Si3 0.375 0.233 0.750
Si4 0.875 0.017 0.750
Ir1 0.000 0.000 0.000
Ir2 0.750 0.250 0.500
Li1 0.500 0.500 0.000
Li2 0.250 0.750 0.500

Computed properties:
SG   I-42d (122)
Energy above the most stable polymorph in this dataset   501.1 meV/atom
Calculated volume   164.5 Å³ per cell
ΔE_f (raw)   0.015 eV/atom